Version i
Computed, not measured: crystalline Nd7Tm3 at its relaxed geometry at the PBE-GGA level of DFT.

Lattice parameters (Å, degrees): 18.469 5.136 7.226 90.00 101.67 90.00
Space group C2/m (No. 12)
Symmetry-distinct sites (fractional):
Nd  0.000  0.000  0.000 (multiplicity 2)
Nd  0.100  0.500  0.299 (multiplicity 4)
Nd  0.101  0.500  0.802 (multiplicity 4)
Nd  0.200  0.000  0.601 (multiplicity 4)
Tm  0.000  0.000  0.500 (multiplicity 2)
Tm  0.201  0.000  0.100 (multiplicity 4)

Summary:
spin magnetization: 0.000 μB/cell

***

Version ii
Computed, not measured: crystalline Nd7Tm3 at its relaxed geometry at the PBE-GGA level of DFT.

Lattice parameters (Å, degrees): 11.7084 11.7084 5.7627 90.00 90.00 120.00
Space group P6_3mc (No. 186)
Symmetry-distinct sites (fractional):
Nd  0.0488  0.5244  0.0000 (multiplicity 6)
Nd  0.1159  0.2318  0.9910 (multiplicity 6)
Nd  0.3333  0.6667  0.9840 (multiplicity 2)
Tm  0.2241  0.4481  0.4911 (multiplicity 6)

Summary:
spin magnetization: 0.000 μB/cell

***

version i is favored, and the nearest alternative lies 0.140 eV/atom above it.